# 1
Ta2Tc2S7 | PBE | relaxed

Results
Space-group type: C2/m
Calculated total energy in eV per atom: -7.12
Raw formation energy in eV/f.u.: -5.0
Calculated volume in Å³/atom: 21.32
Fermi-level density of states in states/eV per atom: 0.764

Unit cell a=6.2808 b=6.3510 c=6.3510 alpha=111.08 beta=94.10 gamma=94.10
Positions (direct):
S 0.7151 0.4552 0.0446
S 0.2849 0.9554 0.5448
S 0.2082 0.4101 0.4101
Ta 0.5000 0.3518 0.6482
Tc 0.8547 0.2542 0.2542
S 0.7151 0.0446 0.4552
Ta 0.5000 0.6482 0.3518
Tc 0.1453 0.7458 0.7458
S 0.0000 0.0000 0.0000
S 0.2849 0.5448 0.9554
S 0.7918 0.5899 0.5899


# 2
Pr2NdGa | PBE | relaxed

Results
Space-group type: P4/mmm
Calculated total energy in eV per atom: -4.57
Calculated volume in Å³/atom: 29.19
Relative energy among the computed polymorphs in eV per atom: 0.023
ΔE_f in meV/atom: -233.3
Fermi-level density of states in states/eV per atom: 1.467

Unit cell a=4.8913 b=4.8857 c=4.8857 alpha=90.00 beta=90.00 gamma=90.00
Positions (direct):
Pr 0.0000 0.0000 0.5000
Pr 0.0000 0.5000 0.0000
Ga 0.5000 0.5000 0.5000
Nd 0.5000 0.0000 0.0000


# 3
HgI2BrN | PBE | relaxed

Results
Space-group type: P4/mmm
Calculated total energy in eV per atom: -1.66
Raw formation energy in eV/f.u.: 5.1
Calculated volume in Å³/atom: 32.89
Relative energy among the computed polymorphs in eV per atom: 0.017
Fermi-level density of states in states/eV per atom: 1.229

Unit cell a=6.2617 b=6.2617 c=4.1938 alpha=90.00 beta=90.00 gamma=90.00
Positions (direct):
Hg 0.0000 0.0000 0.0000
N 0.0000 0.0000 0.5000
Br 0.5000 0.5000 0.5000
I 0.5000 0.0000 0.0000
I 0.0000 0.5000 0.0000


# 4
InP | PBE | relaxed

Results
Space-group type: Cmcm
Calculated total energy in eV per atom: -3.95
Calculated volume in Å³/atom: 22.85
ΔE_f in meV/atom: 122.1
Fermi-level density of states in states/eV per atom: 0.318

Unit cell a=7.1989 b=7.1989 c=3.3129 alpha=90.00 beta=90.00 gamma=147.83
Positions (direct):
P 0.5544 0.4456 0.7500
In 0.8329 0.1671 0.7500
In 0.1671 0.8329 0.2500
P 0.4456 0.5544 0.2500


# 5
Tb7InIr4 | PBE | relaxed

Results
Space-group type: C2/m
Calculated total energy in eV per atom: -6.35
Calculated volume in Å³/atom: 24.73
ΔE_f in meV/atom: -465.9
Fermi-level density of states in states/eV per atom: 0.557

Unit cell a=5.4512 b=8.5239 c=7.3285 alpha=76.21 beta=68.17 gamma=71.35
Positions (direct):
Tb 0.2117 0.1249 0.4516
Tb 0.7883 0.8751 0.5484
Ir 0.2974 0.3393 0.0659
Ir 0.7026 0.6607 0.9341
Ir 0.5680 0.2198 0.6443
Tb 0.0763 0.6320 0.2153
Tb 0.3245 0.6224 0.7287
In 0.0000 0.0000 0.0000
Ir 0.4320 0.7802 0.3557
Tb 0.9237 0.3680 0.7847
Tb 0.6755 0.3776 0.2713
Tb 0.5000 0.0000 0.0000


# 6
ErZrCdAu | PBE | relaxed

Results
Space-group type: F-43m
Calculated total energy in eV per atom: -4.68
Calculated volume in Å³/atom: 22.49
ΔE_f in meV/atom: -350.6
Fermi-level density of states in states/eV per atom: 1.051

Unit cell a=5.0298 b=5.0298 c=5.0298 alpha=60.00 beta=60.00 gamma=60.00
Positions (direct):
Cd 0.7500 0.7500 0.7500
Er 0.5000 0.5000 0.5000
Zr 0.0000 0.0000 0.0000
Au 0.2500 0.2500 0.2500


# 7
NaMgAgSn | PBE | relaxed

Results
Space-group type: F-43m
Calculated total energy in eV per atom: -2.54
Calculated volume in Å³/atom: 21.93
Relative energy among the computed polymorphs in eV per atom: 0.000
ΔE_f in meV/atom: -102.7
Fermi-level density of states in states/eV per atom: 0.380

Unit cell a=4.9872 b=4.9872 c=4.9872 alpha=60.00 beta=60.00 gamma=60.00
Positions (direct):
Na 0.7500 0.7500 0.7500
Mg 0.0000 0.0000 0.0000
Sn 0.2500 0.2500 0.2500
Ag 0.5000 0.5000 0.5000


# 8
CePr8Tm4 | PBE | relaxed

Results
Space-group type: R-3m
Calculated total energy in eV per atom: -4.62
Calculated volume in Å³/atom: 33.95
ΔE_f in meV/atom: 153.2
Fermi-level density of states in states/eV per atom: 1.538

Unit cell a=7.4134 b=7.4134 c=10.2122 alpha=90.00 beta=111.28 gamma=120.00
Positions (direct):
Tm 0.5000 0.0000 0.0000
Tm 0.0000 0.5000 0.0000
Tm 0.5000 0.5000 0.0000
Pr 0.0496 0.2549 0.3045
Pr 0.5098 0.2549 0.3045
Pr 0.4902 0.7451 0.6955
Pr 0.4415 0.2207 0.6622
Pr 0.9504 0.2053 0.6955
Pr 0.5585 0.7793 0.3378
Pr 0.9504 0.7451 0.6955
Ce 0.0000 0.5000 0.5000
Tm 0.0000 0.0000 0.0000
Pr 0.0496 0.7947 0.3045


# 9
NaIn2 | PBE | relaxed

Results
Space-group type: Fd-3m
Calculated total energy in eV per atom: -2.35
Calculated volume in Å³/atom: 28.75
Relative energy among the computed polymorphs in eV per atom: 0.036
ΔE_f in meV/atom: -87.1
Fermi-level density of states in states/eV per atom: 0.750

Unit cell a=6.2484 b=6.2484 c=6.2484 alpha=60.00 beta=60.00 gamma=60.00
Positions (direct):
In 0.1250 0.6250 0.6250
Na 0.0000 0.0000 0.0000
In 0.6250 0.6250 0.6250
Na 0.2500 0.2500 0.2500
In 0.6250 0.1250 0.6250
In 0.6250 0.6250 0.1250


# 10
Ti2FeSi | PBE | relaxed

Results
Space-group type: F-43m
Calculated total energy in eV per atom: -7.79
Raw formation energy in eV/f.u.: -1.5
Calculated volume in Å³/atom: 13.47
Fermi-level density of states in states/eV per atom: 0.807

Unit cell a=4.2392 b=4.2392 c=4.2392 alpha=60.00 beta=60.00 gamma=60.00
Positions (direct):
Fe 0.2500 0.2500 0.2500
Ti 0.7500 0.7500 0.7500
Si 0.5000 0.5000 0.5000
Ti 0.0000 0.0000 0.0000


# 11
LaGd2Dy | PBE | relaxed

Results
Space-group type: R-3m
Calculated total energy in eV per atom: -9.30
Calculated volume in Å³/atom: 33.56
Relative energy among the computed polymorphs in eV per atom: 0.101
ΔE_f in meV/atom: 126.5
Fermi-level density of states in states/eV per atom: 1.611

Unit cell a=3.5193 b=3.5193 c=12.6782 alpha=82.02 beta=82.02 gamma=60.00
Positions (direct):
La 0.0000 0.0000 0.0000
Gd 0.9096 0.9096 0.2713
Dy 0.5000 0.5000 0.5000
Gd 0.0904 0.0904 0.7287


# 12
Ti5CoCu2 | PBE | relaxed

Results
Space-group type: I4/mcm
Calculated total energy in eV per atom: -6.89
Calculated volume in Å³/atom: 15.26
ΔE_f in meV/atom: -47.9
Fermi-level density of states in states/eV per atom: 1.290

Unit cell a=6.1564 b=6.1564 c=7.7747 alpha=113.32 beta=113.32 gamma=90.00
Positions (direct):
Cu 0.3682 0.8682 0.0000
Ti 0.9938 0.4938 0.3205
Cu 0.1318 0.3682 0.0000
Ti 0.5000 0.5000 0.0000
Ti 0.6733 0.1733 0.6795
Ti 0.0062 0.5062 0.6795
Ti 0.0000 0.0000 0.0000
Ti 0.1733 0.0062 0.6795
Ti 0.4938 0.3267 0.3205
Cu 0.8682 0.6318 0.0000
Co 0.2500 0.2500 0.5000
Ti 0.8267 0.9938 0.3205
Cu 0.6318 0.1318 0.0000
Ti 0.5062 0.6733 0.6795
Co 0.7500 0.7500 0.5000
Ti 0.3267 0.8267 0.3205